VASP calculation (PBE-GGA) on a relaxed structure of BTe2W.

Calculated values
- spin magnetization (Bohr magnetons per cell) = 0.0
- DOS at the Fermi energy (states/eV per cell) = 3.07
- theoretical density (g/cm3) = 8.51
- energy relative to the elements, uncorrected (meV/atom) = 1206

The structure in POSCAR format:
```
BTe2W
1.0
8.130 0.029 0.017
7.324 3.528 0.017
7.324 1.686 3.099
W Te B
1 2 1
Cartesian
11.389 2.621 1.567 W
20.736 4.772 2.852 Te
2.043 0.470 0.281 Te
0.000 0.000 0.000 B
```



VASP calculation (PBE-GGA) on a relaxed structure of SrZnCr2Au.

Calculated values
- spin magnetization (Bohr magnetons per cell) = 9.2
- DOS at the Fermi energy (states/eV per cell) = 3.58
- theoretical density (g/cm3) = 4.90
- formation energy (eV per atom) = 0.7311

The structure in POSCAR format:
```
SrZnCr2Au
1.0
5.144 0.000 0.000
0.000 5.813 0.000
0.000 0.000 5.144
Cr Sr Au Zn
2 1 1 1
Cartesian
0.000 0.000 2.572 Cr
2.572 0.000 0.000 Cr
0.000 2.906 0.000 Sr
0.000 0.000 0.000 Au
2.572 2.906 2.572 Zn
```



VASP calculation (PBE-GGA) on a relaxed structure of Pm3Sb.

Calculated values
- spin magnetization (Bohr magnetons per cell) = 0.0
- DOS at the Fermi energy (states/eV per cell) = 3.24
- theoretical density (g/cm3) = 7.82
- energy relative to the elements, uncorrected (meV/atom) = -319

The structure in POSCAR format:
```
Pm3Sb
1.0
-1.448 -3.451 -4.043
2.180 -5.055 -0.220
-3.124 -4.398 1.119
Pm Sb
3 1
Cartesian
-1.794 -9.677 -2.358 Pm
0.000 0.000 0.000 Pm
-0.598 -3.226 -0.786 Pm
-1.196 -6.452 -1.572 Sb
```